(1)
A plane-wave DFT calculation with GGA-PBE was carried out for a relaxed Sc3TlRe crystal.

Cell: 5.2281 5.2281 5.2281 Å, 90.00 90.00 90.00°
Last column: nearest neighbours and their distance in Å.
Space group Pm-3m (No. 221)
Unique sites:
Sc  0.0000  0.0000  0.5000  2 Tl 2.61
Tl  0.0000  0.0000  0.0000  6 Sc 2.61
Re  0.5000  0.5000  0.5000  12 Sc 3.70

Excess energy over the best structure of this formula in the dataset: 1200.0 meV/atom
VASP energy: -0.1969 hartree per atom
Total moment: 2.70 μB per cell
Calculated formation energy: 1404 meV/atom


(2)
A plane-wave DFT calculation with GGA-PBE was carried out for a relaxed TaInI2O crystal.

Cell: 6.2586 6.2586 3.9143 Å, 90.00 90.00 90.00°
Last column: nearest neighbours and their distance in Å.
Space group P4/mmm (No. 123)
Unique sites:
Ta  0.0000  0.0000  0.0000  2 O 1.96
In  0.5000  0.5000  0.5000  8 I 3.69, 2 In 3.91
I  0.0000  0.5000  0.0000  2 Ta 3.13
O  0.0000  0.0000  0.5000  2 Ta 1.96

Excess energy over the best structure of this formula in the dataset: 0.0 meV/atom
VASP energy: -0.1898 hartree per atom
Total moment: 1.80 μB per cell
Energy relative to the elements, uncorrected: -636 meV per atom


Q: Which value of excess energy over the best structure of this formula in the dataset does entry 1 give?
A: 1200.0 meV/atom


Q: What is the formula in the first record?
A: Sc3TlRe


Q: Look up the excess energy over the best structure of this formula in the dataset of the first one.
A: 1200.0 meV/atom


Q: Which formula does entry 1 have?
A: Sc3TlRe